# 1
First-principles (PBE) data for a relaxed structure of HoAg5Cl12, as listed in Alexandria.

abc: 6.5511 6.9008 12.7556
angles: 84.61 78.59 61.66
Last column: magnetic moment on the atom in μB.
Sites, in units of the cell vectors:
Cl  0.1521  0.0000  0.6123  0.22
Cl  0.9352  0.6834  0.1137  0.08
Ag  0.6581  0.6838  0.0000  0.20
Cl  0.1811  0.3337  0.3879  0.23
Ag  0.3419  0.3162  0.0000  0.20
Ag  0.1667  0.6666  0.5000  0.31
Cl  0.4851  0.3337  0.6121  0.23
Cl  0.3814  0.6834  0.8863  0.08
Ag  0.5000  0.0000  0.5000  0.30
Cl  0.6186  0.3166  0.1137  0.08
Cl  0.2667  0.0000  0.1282  0.08
Cl  0.0648  0.3166  0.8863  0.08
Cl  0.8479  0.0000  0.3878  0.22
Ag  0.8333  0.3334  0.5000  0.31
Cl  0.7333  0.0000  0.8718  0.08
Cl  0.8189  0.6663  0.6121  0.23
Cl  0.5149  0.6663  0.3879  0.23
Ho  0.0000  0.0000  0.0000  -0.01

Properties
* uncorrected energy: -3.012 eV per atom
* ΔE_f (raw): -0.734 eV/atom
* space group: No. 12
* mass density: 3.8 g cm⁻³
* total magnetization: 3.64 μB per cell



# 2
First-principles (PBE) data for a relaxed structure of Pu5URh6, as listed in Alexandria.

abc: 4.7690 6.9381 8.4256
angles: 114.32 106.42 90.00
Last column: magnetic moment on the atom in μB.
Sites, in units of the cell vectors:
Pu  0.3157  0.8155  0.6311  5.06
Rh  0.1490  0.3755  0.2985  -0.20
Rh  0.1490  0.9231  0.2985  -0.20
Rh  0.5000  0.7797  0.0000  -0.15
Pu  0.3367  0.3364  0.6729  5.14
Rh  0.8510  0.6245  0.7015  -0.20
Rh  0.5000  0.2203  0.0000  -0.15
Pu  0.0000  0.5000  0.0000  -4.86
Pu  0.6843  0.1845  0.3689  5.06
Rh  0.8510  0.0769  0.7015  -0.20
U  0.0000  0.0000  0.0000  1.15
Pu  0.6633  0.6636  0.3271  5.14

Properties
* uncorrected energy: -11.002 eV per atom
* space group: No. 71
* mass density: 14.3 g cm⁻³
* energy of formation: -0.414 eV/atom
* total magnetization: 16.34 μB per cell



# 3
First-principles (PBE) data for a relaxed structure of MoIr2Ru, as listed in Alexandria.

abc: 2.7343 2.7343 7.8299
angles: 90.00 90.00 90.00
Sites, in units of the cell vectors:
Mo  0.5000  0.5000  0.2500
Ir  0.0000  0.0000  0.5043
Ir  0.0000  0.0000  0.9957
Ru  0.5000  0.5000  0.7500

Properties
* uncorrected energy: -9.579 eV per atom
* space group: No. 123
* energy above the most stable polymorph in this dataset: 126 meV/atom
* mass density: 16.5 g cm⁻³
* energy of formation: -0.122 eV/atom
* total magnetization: 0.00 μB per cell



# 4
First-principles (PBE) data for a relaxed structure of Er6Co2Te, as listed in Alexandria.

abc: 8.3311 8.3311 8.3311
angles: 106.24 112.31 109.93
Last column: magnetic moment on the atom in μB.
Sites, in units of the cell vectors:
Er  0.1020  0.8177  0.2843  -0.01
Te  0.0000  0.5000  0.5000  0.00
Te  0.0000  0.0000  0.0000  0.02
Er  0.2080  0.9730  0.7650  -0.02
Er  0.3186  0.6742  0.9928  -0.02
Er  0.3186  0.3258  0.6445  -0.02
Co  0.5000  0.8862  0.3862  -0.02
Er  0.4666  0.1823  0.2843  -0.01
Er  0.7920  0.5570  0.7650  -0.02
Co  0.6598  0.6598  0.0000  0.35
Er  0.8980  0.1823  0.7157  -0.01
Er  0.5334  0.8177  0.7157  -0.01
Er  0.7920  0.0270  0.2350  -0.02
Er  0.2080  0.4430  0.2350  -0.02
Co  0.5000  0.1138  0.6138  -0.02
Er  0.6814  0.6742  0.3555  -0.02
Er  0.6814  0.3258  0.0072  -0.02
Co  0.3402  0.3402  0.0000  0.35

Properties
* uncorrected energy: -5.349 eV per atom
* ΔE_f (raw): -0.379 eV/atom
* space group: No. 71
* energy above the most stable polymorph in this dataset: 0 meV/atom
* mass density: 9.3 g cm⁻³
* total magnetization: 0.45 μB per cell



# 5
First-principles (PBE) data for a relaxed structure of Rb2Au2Cl5, as listed in Alexandria.

abc: 5.1902 9.1709 6.9420
angles: 107.60 90.00 106.44
Sites, in units of the cell vectors:
Rb  0.6167  0.2334  0.3071
Au  0.0917  0.1833  0.7926
Au  0.9083  0.8167  0.2074
Cl  0.5866  0.1731  0.7953
Cl  0.0000  0.0000  0.0000
Rb  0.3833  0.7666  0.6929
Cl  0.1835  0.3670  0.5982
Cl  0.8165  0.6330  0.4018
Cl  0.4134  0.8269  0.2047

Properties
* uncorrected energy: -2.963 eV per atom
* ΔE_f (raw): -0.993 eV/atom
* space group: No. 12
* mass density: 4.1 g cm⁻³
* total magnetization: 0.00 μB per cell



# 6
First-principles (PBE) data for a relaxed structure of NdHo6Sc2, as listed in Alexandria.

abc: 11.9113 7.1670 7.1670
angles: 85.93 71.24 71.24
Sites, in units of the cell vectors:
Ho  0.3956  0.2333  0.5140
Ho  0.0694  0.9440  0.7370
Ho  0.4306  0.2630  0.0560
Nd  0.2500  0.0446  0.9554
Ho  0.3554  0.7576  0.3587
Nd  0.7500  0.9554  0.0446
Sc  0.8583  0.7831  0.6095
Ho  0.8554  0.3587  0.7576
Ho  0.1446  0.6413  0.2424
Sc  0.3583  0.6095  0.7831
Ho  0.5694  0.7370  0.9440
Ho  0.8956  0.5140  0.2333
Ho  0.6446  0.2424  0.6413
Sc  0.6417  0.3905  0.2169
Ho  0.9306  0.0560  0.2630
Sc  0.1417  0.2169  0.3905
Ho  0.6044  0.7667  0.4860
Ho  0.1044  0.4860  0.7667

Properties
* uncorrected energy: -4.791 eV per atom
* space group: No. 15
* energy above the most stable polymorph in this dataset: 0 meV/atom
* mass density: 7.4 g cm⁻³
* energy of formation: 0.197 eV/atom
* total magnetization: 0.00 μB per cell



# 7
First-principles (PBE) data for a relaxed structure of Ca2NbAuCl, as listed in Alexandria.

abc: 5.7484 5.0531 5.7484
angles: 90.00 90.00 90.00
Last column: magnetic moment on the atom in μB.
Sites, in units of the cell vectors:
Cl  0.0000  0.5000  0.0000  0.04
Ca  0.0000  0.0000  0.5000  0.06
Ca  0.5000  0.0000  0.0000  0.04
Au  0.0000  0.0000  0.0000  0.00
Nb  0.5000  0.5000  0.5000  2.95

Properties
* uncorrected energy: -3.277 eV per atom
* ΔE_f (raw): 0.563 eV/atom
* space group: No. 123
* mass density: 4.0 g cm⁻³
* total magnetization: 4.57 μB per cell



# 8
First-principles (PBE) data for a relaxed structure of KReI2O, as listed in Alexandria.

abc: 5.8258 5.8258 3.8312
angles: 90.00 90.00 90.00
Sites, in units of the cell vectors:
Re  0.0000  0.0000  0.0000
I  0.0000  0.5000  0.0000
I  0.5000  0.0000  0.0000
K  0.5000  0.5000  0.5000
O  0.0000  0.0000  0.5000

Properties
* uncorrected energy: -4.894 eV per atom
* ΔE_f (raw): -0.574 eV/atom
* space group: No. 123
* energy above the most stable polymorph in this dataset: 0 meV/atom
* mass density: 6.3 g cm⁻³
* total magnetization: 0.00 μB per cell



Question: Which formula does entry 7 have?
Answer: Ca2NbAuCl



Question: The lowest mass density belongs to which entry?
Answer: HoAg5Cl12



Question: What is the total magnetization in the first record?
Answer: 3.64 μB per cell



Question: Among the records above, which one has the highest uncorrected energy?
Answer: Rb2Au2Cl5